# 1
LaAl12Cu6 | PBE | relaxed

Summary:
- Calculated formation energy: -0.143 eV per atom
- Fermi-level density of states: 17.7 states/eV/cell

a = 11.2782 Å, b = 11.2782 Å, c = 8.5710 Å
α = 90.00°, β = 90.00°, γ = 120.00°
Space group R-3m (No. 166, hexagonal axes)
Asymmetric unit:
La 0.0000 0.0000 0.0000 x3
Al 0.0000 0.3830 0.5000 x18
Al 0.0852 0.1704 0.3327 x18
Cu 0.0360 0.5180 0.2530 x18


# 2
La4SmHo7 | PBE | relaxed

Summary:
- Calculated formation energy: 0.248 eV per atom
- Fermi-level density of states: 40.0 states/eV/cell

a = 12.158 Å, b = 5.958 Å, c = 12.971 Å
α = 90.00°, β = 117.78°, γ = 90.00°
Space group C2/m (No. 12)
Asymmetric unit:
La 0.135 0.000 0.278 x4
La 0.216 0.500 0.161 x4
Sm 0.000 0.500 0.500 x2
Ho 0.000 0.000 0.500 x2
Ho 0.072 0.500 0.809 x4
Ho 0.133 0.000 0.994 x4
Ho 0.211 0.500 0.424 x4


# 3
Ho6AlCd3 | PBE | relaxed

Summary:
- Calculated formation energy: -0.238 eV per atom
- Fermi-level density of states: 17.2 states/eV/cell

a = 9.237 Å, b = 5.205 Å, c = 11.482 Å
α = 90.00°, β = 106.87°, γ = 90.00°
Space group P2_1/m (No. 11)
Asymmetric unit:
Ho 0.033 0.250 0.408 x2
Ho 0.160 0.750 0.175 x2
Ho 0.267 0.250 0.005 x2
Ho 0.346 0.750 0.821 x2
Ho 0.371 0.250 0.333 x2
Ho 0.393 0.250 0.622 x2
Al 0.456 0.750 0.108 x2
Cd 0.028 0.750 0.880 x2
Cd 0.118 0.250 0.722 x2
Cd 0.273 0.750 0.471 x2


# 4
TlCd2Si2 | PBE | relaxed

Summary:
- E_form (uncorrected): 0.37 eV per atom
- Fermi-level density of states: 3.7 states/eV/cell

a = 7.466 Å, b = 7.466 Å, c = 4.057 Å
α = 90.00°, β = 90.00°, γ = 90.00°
Space group P4/mbm (No. 127)
Asymmetric unit:
Tl 0.000 0.000 0.000 x2
Cd 0.186 0.314 0.500 x4
Si 0.112 0.612 0.000 x4


# 5
KYBe2 | PBE | relaxed

Summary:
- Calculated formation energy: 0.373 eV per atom
- Fermi-level density of states: 5.2 states/eV/cell

a = 6.840 Å, b = 3.948 Å, c = 8.408 Å
α = 90.00°, β = 105.45°, γ = 90.00°
Space group Cm (No. 8)
Asymmetric unit:
K 0.000 0.000 0.000 x2
Y 0.168 0.000 0.517 x2
Be 0.270 0.500 0.319 x2
Be 0.437 0.000 0.319 x2


# 6
Na4Si2Pt3 | PBE | relaxed

Summary:
- E_form (uncorrected): -0.34 eV per atom
- Fermi-level density of states: 5.1 states/eV/cell

a = 16.997 Å, b = 3.686 Å, c = 6.614 Å
α = 90.00°, β = 102.07°, γ = 90.00°
Space group C2/m (No. 12)
Asymmetric unit:
Na 0.074 0.000 0.392 x4
Na 0.230 0.500 0.213 x4
Si 0.087 0.000 0.923 x4
Pt 0.000 0.500 0.000 x2
Pt 0.125 0.500 0.758 x4


# 7
Be2Tl3Cl8 | PBE | relaxed

Summary:
- E_form (uncorrected): -1.10 eV per atom
- Fermi-level density of states: 21.0 states/eV/cell

a = 6.8812 Å, b = 6.8812 Å, c = 25.2837 Å
α = 90.00°, β = 90.00°, γ = 120.00°
Space group R-3m (No. 166, hexagonal axes)
Asymmetric unit:
Be 0.0000 0.0000 0.1046 x6
Tl 0.0000 0.0000 0.2961 x6
Tl 0.0000 0.0000 0.5000 x3
Cl 0.0000 0.0000 0.1822 x6
Cl 0.0111 0.5056 0.7430 x18


# 8
Y2ZnCdH | PBE | relaxed

Summary:
- Fermi-level density of states: 3.7 states/eV/cell

a = 5.062 Å, b = 5.062 Å, c = 3.859 Å
α = 90.00°, β = 90.00°, γ = 90.00°
Space group P4/mmm (No. 123)
Asymmetric unit:
Y 0.000 0.500 0.000 x2
Zn 0.000 0.000 0.500 x1
Cd 0.500 0.500 0.500 x1
H 0.000 0.000 0.000 x1


no.,final energy (Ry per atom)
1,-0.2984
2,-0.3276
3,-0.2670
4,-0.1937
5,-0.2485
6,-0.3047
7,-0.2469
8,-0.2941